1.
# ScSi2W

A geometry-optimized ScSi2W structure (PBE-GGA, OQMD).

Output
- crystal system = cubic

abc: 6.279 6.279 6.279
angles: 90.00 90.00 90.00
Space group F-43m (No. 216)
Asymmetric unit:
Sc: 0.000 0.000 0.000 [4 per cell]
Si: 0.000 0.000 0.500 [4 per cell]
Si: 0.250 0.250 0.250 [4 per cell]
W: 0.250 0.250 0.750 [4 per cell]

=====

2.
# Co3AgGe5

A geometry-optimized Co3AgGe5 structure (PBE-GGA, OQMD).

Output
- crystal system = hexagonal

abc: 4.9805 4.9805 6.4405
angles: 90.00 90.00 120.00
Space group P6/mmm (No. 191)
Asymmetric unit:
Co: 0.0000 0.5000 0.0000 [3 per cell]
Ag: 0.0000 0.0000 0.5000 [1 per cell]
Ge: 0.0000 0.0000 0.0000 [1 per cell]
Ge: 0.3333 0.6667 0.2994 [4 per cell]

=====

3.
# KPmAu

A geometry-optimized KPmAu structure (PBE-GGA, OQMD).

Output
- crystal system = hexagonal
- energy above the lowest structure with this stoichiometry (meV/atom) = 0.0

abc: 7.8421 7.8421 5.1070
angles: 90.00 90.00 120.00
Space group P-62m (No. 189)
Asymmetric unit:
K: 0.0000 0.2398 0.0000 [3 per cell]
Pm: 0.0000 0.5752 0.5000 [3 per cell]
Au: 0.0000 0.0000 0.5000 [1 per cell]
Au: 0.3333 0.6667 0.0000 [2 per cell]

=====

no.,mass density (kg/m³),DFT total energy (eV per atom)
1,7645,-7.26
2,7776,-5.24
3,6979,-3.09